First-principles (PBE-GGA) data for a geometry-optimized HfNi3 structure, as listed in the Open Quantum Materials Database.

POSCAR file:
```
HfNi3
1.0
5.262 0.000 0.000
-2.631 4.557 0.000
0.000 0.000 21.360
Hf Ni
10 30
direct
0.000 0.000 0.250
0.000 0.000 0.750
0.333 0.667 0.046
0.333 0.667 0.454
0.333 0.667 0.651
0.333 0.667 0.849
0.667 0.333 0.151
0.667 0.333 0.349
0.667 0.333 0.546
0.667 0.333 0.954
0.022 0.511 0.250
0.156 0.312 0.551
0.156 0.312 0.949
0.156 0.844 0.551
0.156 0.844 0.949
0.168 0.336 0.150
0.168 0.336 0.350
0.168 0.832 0.150
0.168 0.832 0.350
0.312 0.156 0.051
0.312 0.156 0.449
0.336 0.168 0.650
0.336 0.168 0.850
0.489 0.511 0.250
0.489 0.978 0.250
0.511 0.022 0.750
0.511 0.489 0.750
0.664 0.832 0.150
0.664 0.832 0.350
0.688 0.844 0.551
0.688 0.844 0.949
0.832 0.168 0.650
0.832 0.168 0.850
0.832 0.664 0.650
0.832 0.664 0.850
0.844 0.156 0.051
0.844 0.156 0.449
0.844 0.688 0.051
0.844 0.688 0.449
0.978 0.489 0.750
```

Output
Energy   -288.32 eV per cell
Symmetry   P6_3/mmc (194)
Formation energy   -0.543 eV/atom